Record 1
First-principles (PBEsol) data for a relaxed structure of K2BH, as listed in Alexandria.

Properties
Density of states at the Fermi level: 3.7 states/eV/f.u.
Electronic total energy: -0.0756 Ha/atom

a = 7.2094 Å, b = 7.2094 Å, c = 7.2094 Å
α = 90.00°, β = 90.00°, γ = 90.00°
Closest atoms and distances in Å follow each position.
Space group Fm-3m (No. 225)
Asymmetric unit:
K1 0.2500 0.2500 0.2500 [8 per cell]  4 H 3.12, 4 B 3.12
B1 0.0000 0.0000 0.0000 [4 per cell]  8 K 3.12
H1 0.0000 0.0000 0.5000 [4 per cell]  8 K 3.12

Record 2
First-principles (PBEsol) data for a relaxed structure of KB5H5, as listed in Alexandria.

Properties
Density of states at the Fermi level: 0.0 states/eV/f.u.
Electronic total energy: -0.1865 Ha/atom

a = 6.6532 Å, b = 11.0311 Å, c = 14.0116 Å
α = 90.00°, β = 116.04°, γ = 90.00°
Closest atoms and distances in Å follow each position.
Space group P2_1/c (No. 14)
Asymmetric unit:
K1 0.1124 0.0346 0.3406 [4 per cell]  7 H 2.64-2.86
K2 0.3171 0.6303 0.5544 [4 per cell]  8 H 2.61-2.91
B1 0.0997 0.2175 0.6284 [4 per cell]  1 H 1.21
B2 0.1185 0.2317 0.5051 [4 per cell]  1 H 1.21
B3 0.1990 0.1428 0.0991 [4 per cell]  1 H 1.22
B4 0.2515 0.1048 0.5893 [4 per cell]  1 H 1.21
B5 0.3015 0.1594 0.0085 [4 per cell]  1 H 1.20
B6 0.3087 0.1325 0.7178 [4 per cell]  1 H 1.20
B7 0.3664 0.2171 0.2225 [4 per cell]  1 H 1.21
B8 0.4125 0.1989 0.5436 [4 per cell]  1 H 1.21
B9 0.4839 0.6704 0.8163 [4 per cell]  1 H 1.21
B10 0.4948 0.1767 0.1370 [4 per cell]  1 H 1.21
H1 0.0473 0.7129 0.0771 [4 per cell]  1 B 1.21
H2 0.0837 0.7166 0.8729 [4 per cell]  1 B 1.21
H3 0.1005 0.0507 0.1009 [4 per cell]  1 B 1.22
H4 0.2029 0.0027 0.5553 [4 per cell]  1 B 1.21
H5 0.2910 0.0910 0.9395 [4 per cell]  1 B 1.20
H6 0.2980 0.6291 0.7665 [4 per cell]  1 B 1.21
H7 0.3077 0.0648 0.7844 [4 per cell]  1 B 1.20
H8 0.3383 0.6151 0.3279 [4 per cell]  1 B 1.21
H9 0.4225 0.1614 0.3047 [4 per cell]  1 B 1.21
H10 0.4953 0.6508 0.0045 [4 per cell]  1 B 1.21

Record 3
First-principles (PBEsol) data for a relaxed structure of KB3H3, as listed in Alexandria.

Properties
Density of states at the Fermi level: 0.0 states/eV/f.u.
Electronic total energy: -0.1787 Ha/atom

a = 8.6694 Å, b = 8.6694 Å, c = 8.6694 Å
α = 90.00°, β = 90.00°, γ = 90.00°
Closest atoms and distances in Å follow each position.
Space group Fm-3m (No. 225)
Asymmetric unit:
K1 0.2500 0.2500 0.2500 [8 per cell]  12 H 3.08, 12 B 3.21
B1 0.0000 0.0000 0.1407 [24 per cell]  1 H 1.21
H1 0.0000 0.0000 0.2806 [24 per cell]  1 B 1.21

Record 4
First-principles (PBEsol) data for a relaxed structure of KBMo2H, as listed in Alexandria.

Properties
Density of states at the Fermi level: 4.8 states/eV/f.u.
Electronic total energy: -0.2028 Ha/atom

a = 4.0338 Å, b = 4.0338 Å, c = 6.6260 Å
α = 90.00°, β = 90.00°, γ = 90.00°
Closest atoms and distances in Å follow each position.
Space group P4/mmm (No. 123)
Asymmetric unit:
K1 0.0000 0.0000 0.0000 [1 per cell]  4 H 2.85
B1 0.5000 0.5000 0.5000 [1 per cell]  4 Mo 2.02
Mo1 0.0000 0.5000 0.5000 [2 per cell]  2 B 2.02
H1 0.5000 0.5000 0.0000 [1 per cell]  4 K 2.85

Record 5
First-principles (PBEsol) data for a relaxed structure of KNaB2H8, as listed in Alexandria.

Properties
Energy relative to the lowest polymorph listed for this composition: 0.0 meV/atom
Density of states at the Fermi level: 0.0 states/eV/f.u.
Electronic total energy: -0.1441 Ha/atom

a = 4.4848 Å, b = 4.4848 Å, c = 20.2361 Å
α = 90.00°, β = 90.00°, γ = 120.00°
Closest atoms and distances in Å follow each position.
Space group R-3m (No. 166, hexagonal axes)
Asymmetric unit:
K1 0.0000 0.0000 0.0000 [3 per cell]  12 H 2.69
Na1 0.0000 0.0000 0.5000 [3 per cell]  12 H 2.37-2.60
B1 0.0000 0.0000 0.2394 [6 per cell]  4 H 1.23
H1 0.0000 0.0000 0.1786 [6 per cell]  1 B 1.23
H2 0.0350 0.5175 0.9268 [18 per cell]  1 B 1.23

Record 6
First-principles (PBEsol) data for a relaxed structure of KNaB2H8, as listed in Alexandria.

Properties
Energy relative to the lowest polymorph listed for this composition: 9.4 meV/atom
Density of states at the Fermi level: 0.0 states/eV/f.u.
Electronic total energy: -0.1437 Ha/atom

a = 4.3926 Å, b = 4.3926 Å, c = 21.7350 Å
α = 90.00°, β = 90.00°, γ = 120.00°
Closest atoms and distances in Å follow each position.
Space group R3 (No. 146, hexagonal axes)
Asymmetric unit:
K1 0.0000 0.0000 0.0000 [3 per cell]  12 H 2.63-2.72
Na1 0.0000 0.0000 0.5015 [3 per cell]  12 H 2.45-2.67
B1 0.0000 0.0000 0.2439 [3 per cell]  4 H 1.23
B2 0.0000 0.0000 0.7559 [3 per cell]  4 H 1.23
H1 0.0000 0.0000 0.1875 [3 per cell]  1 B 1.23
H2 0.0000 0.0000 0.6991 [3 per cell]  1 B 1.23
H3 0.0282 0.5138 0.9295 [9 per cell]  1 B 1.23
H4 0.0296 0.5435 0.4412 [9 per cell]  1 B 1.23

Record 7
First-principles (PBEsol) data for a relaxed structure of KNaB2H8, as listed in Alexandria.

Properties
Energy relative to the lowest polymorph listed for this composition: 9.8 meV/atom
Density of states at the Fermi level: 0.0 states/eV/f.u.
Electronic total energy: -0.1437 Ha/atom

a = 4.5987 Å, b = 4.5987 Å, c = 6.8940 Å
α = 90.00°, β = 90.00°, γ = 120.00°
Closest atoms and distances in Å follow each position.
Space group P3m1 (No. 156)
Asymmetric unit:
K1 0.0000 0.0000 0.0000 [1 per cell]  15 H 2.66-2.90, 3 B 2.92
Na1 0.6667 0.3333 0.4567 [1 per cell]  9 H 2.40-2.42, 1 B 2.52
B1 0.3333 0.6667 0.2992 [1 per cell]  4 H 1.23-1.24
B2 0.6667 0.3333 0.8226 [1 per cell]  4 H 1.23
H1 0.1874 0.3749 0.3606 [3 per cell]  1 B 1.24
H2 0.3333 0.6667 0.1215 [1 per cell]  1 B 1.23
H3 0.5202 0.0404 0.7649 [3 per cell]  1 B 1.23
H4 0.6667 0.3333 0.0015 [1 per cell]  1 B 1.23

Record 8
First-principles (PBEsol) data for a relaxed structure of KNaB2H8, as listed in Alexandria.

Properties
Energy relative to the lowest polymorph listed for this composition: 6.4 meV/atom
Density of states at the Fermi level: 0.0 states/eV/f.u.
Electronic total energy: -0.1439 Ha/atom

a = 4.3876 Å, b = 4.3876 Å, c = 21.5371 Å
α = 90.00°, β = 90.00°, γ = 120.00°
Closest atoms and distances in Å follow each position.
Space group R-3 (No. 148, hexagonal axes)
Asymmetric unit:
K1 0.0000 0.0000 0.0000 [3 per cell]  12 H 2.63-2.71
Na1 0.0000 0.0000 0.5000 [3 per cell]  12 H 2.48-2.58
B1 0.0000 0.0000 0.2439 [6 per cell]  4 H 1.23
H1 0.0000 0.0000 0.3011 [6 per cell]  1 B 1.23
H2 0.0282 0.5266 0.4418 [18 per cell]  1 B 1.23

Record 9
First-principles (PBEsol) data for a relaxed structure of KB5H4O10, as listed in Alexandria.

Properties
Density of states at the Fermi level: 0.0 states/eV/f.u.
Electronic total energy: -0.2626 Ha/atom

a = 9.2654 Å, b = 7.5361 Å, c = 11.3678 Å
α = 90.00°, β = 97.99°, γ = 90.00°
Closest atoms and distances in Å follow each position.
Space group P2_1/c (No. 14)
Asymmetric unit:
K1 0.1740 0.0638 0.2352 [4 per cell]  7 O 2.74-3.01, 1 H 2.98
B1 0.0692 0.6870 0.0685 [4 per cell]  3 O 1.36-1.39
B2 0.1354 0.0973 0.9274 [4 per cell]  3 O 1.36-1.39
B3 0.2082 0.5450 0.2470 [4 per cell]  4 O 1.47-1.48
B4 0.2548 0.0240 0.5393 [4 per cell]  3 O 1.36-1.40
B5 0.3339 0.6097 0.4534 [4 per cell]  3 O 1.36-1.40
H1 0.4045 0.7126 0.7800 [4 per cell]  1 O 1.01
H2 0.4155 0.1813 0.4827 [4 per cell]  1 O 1.01
H3 0.4444 0.6589 0.6167 [4 per cell]  1 O 1.07
H4 0.4570 0.0819 0.7219 [4 per cell]  1 O 1.00
O1 0.0421 0.2025 0.9830 [4 per cell]  2 B 1.39
O2 0.1069 0.6776 0.1880 [4 per cell]  2 B 1.36-1.47
O3 0.1248 0.0837 0.8075 [4 per cell]  2 B 1.36-1.47
O4 0.1420 0.5896 0.9916 [4 per cell]  2 B 1.39-1.40
O5 0.2374 0.0015 0.0029 [4 per cell]  2 B 1.39-1.40
O6 0.2861 0.0484 0.6597 [4 per cell]  2 B 1.37-1.48
O7 0.3189 0.6331 0.3330 [4 per cell]  2 B 1.37-1.47
O8 0.3252 0.1080 0.4580 [4 per cell]  1 H 1.01
O9 0.4415 0.6945 0.5256 [4 per cell]  1 H 1.07
O10 0.4426 0.6089 0.7368 [4 per cell]  2 H 1.00-1.01

Record 10
First-principles (PBEsol) data for a relaxed structure of K2B6H2O11, as listed in Alexandria.

Properties
Density of states at the Fermi level: 0.0 states/eV/f.u.
Electronic total energy: -0.2731 Ha/atom

a = 9.0207 Å, b = 6.6557 Å, c = 17.9946 Å
α = 90.00°, β = 118.27°, γ = 90.00°
Closest atoms and distances in Å follow each position.
Space group P2_1/c (No. 14)
Asymmetric unit:
K1 0.1172 0.1556 0.1305 [4 per cell]  4 O 2.65-2.93, 1 H 2.86
K2 0.3296 0.5775 0.3433 [4 per cell]  8 O 2.70-2.98, 1 H 2.97
B1 0.0646 0.2090 0.3350 [4 per cell]  4 O 1.44-1.50
B2 0.2093 0.6760 0.1467 [4 per cell]  3 O 1.35-1.40
B3 0.2308 0.5361 0.9472 [4 per cell]  3 O 1.36-1.39
B4 0.2436 0.1837 0.9831 [4 per cell]  3 O 1.36-1.41
B5 0.3032 0.6729 0.5492 [4 per cell]  4 O 1.47-1.48
B6 0.4849 0.6006 0.1656 [4 per cell]  3 O 1.36-1.39
H1 0.0200 0.6349 0.7769 [4 per cell]  1 O 0.99
H2 0.2911 0.0194 0.3165 [4 per cell]  1 O 1.00
O1 0.0669 0.2337 0.7584 [4 per cell]  1 H 0.99
O2 0.1058 0.6561 0.1814 [4 per cell]  2 B 1.35-1.46
O3 0.1404 0.1351 0.9008 [4 per cell]  2 B 1.36-1.48
O4 0.1666 0.0190 0.3631 [4 per cell]  2 B 1.39-1.50
O5 0.1762 0.7075 0.5781 [4 per cell]  2 B 1.37-1.48
O6 0.2451 0.7350 0.9653 [4 per cell]  2 B 1.36-1.48
O7 0.2730 0.1133 0.5077 [4 per cell]  2 B 1.39-1.41
O8 0.3219 0.0462 0.0456 [4 per cell]  2 B 1.36-1.47
O9 0.3584 0.5639 0.1870 [4 per cell]  2 B 1.39-1.40
O10 0.3689 0.5082 0.7923 [4 per cell]  1 H 1.00
O11 0.4685 0.7453 0.1086 [4 per cell]  2 B 1.36-1.47